No. 1
# Cu5SbAu6

A relaxed Cu5SbAu6 crystal (GGA-PBE, Alexandria).

Cell lengths 4.5173, 6.3888, 6.8474 Å; angles 90.00, 99.45, 90.00 degrees
Positions (direct):
Au1 0.7953 0.2598 0.6468
Cu1 0.6920 0.0000 0.3340
Au2 0.5000 0.2703 0.0000
Au3 0.7953 0.7402 0.6468
Cu2 0.0000 0.5000 0.0000
Au4 0.2047 0.7402 0.3532
Au5 0.2047 0.2598 0.3532
Cu3 0.2983 0.5000 0.6776
Cu4 0.7017 0.5000 0.3224
Sb1 0.0000 0.0000 0.0000
Cu5 0.3080 0.0000 0.6660
Au6 0.5000 0.7297 0.0000

Summary:
* total magnetic moment: 0.00 μB per cell
* V: 194.93 Å³ per cell
* formation energy (no corrections): 0.003 eV/atom
* raw total energy: -3.69 eV per atom

No. 2
# CuSb2Au2

A relaxed CuSb2Au2 crystal (GGA-PBE, Alexandria).

Cell lengths 7.3079, 7.3079, 4.1579 Å; angles 90.00, 90.00, 90.00 degrees
Positions (direct):
Au1 0.8635 0.3635 0.5000
Sb1 0.8225 0.6775 0.0000
Sb2 0.3225 0.8225 0.0000
Au2 0.1365 0.6365 0.5000
Sb3 0.6775 0.1775 0.0000
Au3 0.6365 0.8635 0.5000
Au4 0.3635 0.1365 0.5000
Cu1 0.5000 0.5000 0.0000
Cu2 0.0000 0.0000 0.0000
Sb4 0.1775 0.3225 0.0000

Summary:
* total magnetic moment: 0.00 μB per cell
* polymorph energy (0 for the lowest one): 14 meV/atom
* V: 222.06 Å³ per cell
* formation energy (no corrections): 0.157 eV/atom
* raw total energy: -3.62 eV per atom

No. 3
# CuSb2Au

A relaxed CuSb2Au crystal (GGA-PBE, Alexandria).

Cell lengths 4.9783, 4.9783, 4.9783 Å; angles 60.00, 60.00, 60.00 degrees
Positions (direct):
Sb1 0.7500 0.7500 0.7500
Au1 0.5000 0.5000 0.5000
Sb2 0.0000 0.0000 0.0000
Cu1 0.2500 0.2500 0.2500

Summary:
* total magnetic moment: 0.00 μB per cell
* polymorph energy (0 for the lowest one): 312 meV/atom
* V: 87.24 Å³ per cell
* formation energy (no corrections): 0.324 eV/atom
* raw total energy: -3.58 eV per atom

No. 4
# CuSb2Au

A relaxed CuSb2Au crystal (GGA-PBE, Alexandria).

Cell lengths 4.1820, 4.1820, 6.3912 Å; angles 70.90, 70.90, 60.00 degrees
Positions (direct):
Sb1 0.2607 0.2607 0.2179
Au1 0.5042 0.5042 0.4874
Sb2 0.0730 0.0730 0.7811
Cu1 0.6621 0.6621 0.0136

Summary:
* total magnetic moment: 0.00 μB per cell
* polymorph energy (0 for the lowest one): 59 meV/atom
* V: 89.63 Å³ per cell
* formation energy (no corrections): 0.071 eV/atom
* raw total energy: -3.83 eV per atom

No. 5
# Cu2SbAu2

A relaxed Cu2SbAu2 crystal (GGA-PBE, Alexandria).

Cell lengths 3.9080, 3.9080, 6.6298 Å; angles 72.86, 72.86, 90.00 degrees
Positions (direct):
Au1 0.7500 0.2500 0.5000
Cu1 0.4016 0.4016 0.1969
Sb1 0.0000 0.0000 0.0000
Au2 0.2500 0.7500 0.5000
Cu2 0.5984 0.5984 0.8031

Summary:
* total magnetic moment: 0.00 μB per cell
* polymorph energy (0 for the lowest one): 116 meV/atom
* V: 92.04 Å³ per cell
* formation energy (no corrections): 0.153 eV/atom
* raw total energy: -3.62 eV per atom

No. 6
# Cu5SbAu8

A relaxed Cu5SbAu8 crystal (GGA-PBE, Alexandria).

Cell lengths 6.8053, 6.8053, 6.8053 Å; angles 109.88, 108.65, 109.88 degrees
Positions (direct):
Cu1 0.0309 0.3555 0.1286
Cu2 0.5000 0.0000 0.5000
Au1 0.6169 0.9383 0.8719
Au2 0.1281 0.7450 0.0664
Au3 0.9336 0.0617 0.6786
Au4 0.3214 0.2550 0.3831
Cu3 0.7731 0.6445 0.6755
Sb1 0.2500 0.5000 0.7500
Au5 0.6473 0.3961 0.9033
Cu4 0.3245 0.0977 0.9691
Au6 0.5072 0.6039 0.2512
Au7 0.7488 0.2560 0.3527
Cu5 0.8714 0.9023 0.2269
Au8 0.0967 0.7440 0.4928

Summary:
* total magnetic moment: 0.00 μB per cell
* V: 242.58 Å³ per cell
* formation energy (no corrections): 0.062 eV/atom
* raw total energy: -3.57 eV per atom